Here is a relaxed CrAgRh crystal from Alexandria. Energies are from PBE-GGA.

a = 7.319 Å, b = 7.104 Å, c = 2.663 Å
α = 83.94°, β = 74.85°, γ = 21.21°
Fractional coordinates of all 3 atoms:
Ag: 0.997 0.997 0.003
Rh: 0.679 0.679 0.321
Cr: 0.324 0.324 0.676

Summary:
**ΔE_f**: 0.3681 eV/atom
**Energy relative to the lowest polymorph listed for this composition**: 0.155 eV per atom
**Magnetic moment**: 0.0 Bohr magnetons per cell
**Total energy**: -6.24 eV/atom